Record 1
## TcP2Br (PBE)

Data for crystalline TcP2Br at its relaxed geometry.

Cell lengths 2.979, 2.979, 8.823 Å; angles 90.00, 90.00, 90.00 degrees
Fractional positions:
Tc  0.000  0.000  0.000
P  0.500  0.500  0.155
P  0.500  0.500  0.845
Br  0.000  0.000  0.500

ΔE to the lowest computed polymorph = 0.0645 eV/atom
energy relative to the elements, uncorrected = 0.02 eV per atom
DFT total energy = -5.696 eV per atom
space group = P4/mmm (123)

Record 2
## TcP2Br (PBE)

Data for crystalline TcP2Br at its relaxed geometry.

Cell lengths 8.862, 8.862, 8.862 Å; angles 20.43, 20.43, 20.43 degrees
Fractional positions:
Tc  0.000  0.000  0.000
P  0.263  0.263  0.263
P  0.542  0.542  0.542
Br  0.738  0.738  0.738

ΔE to the lowest computed polymorph = 0.3267 eV/atom
energy relative to the elements, uncorrected = 0.28 eV per atom
DFT total energy = -5.434 eV per atom
space group = R3m (160)

Record 3
## TcP2Br (PBE)

Data for crystalline TcP2Br at its relaxed geometry.

Cell lengths 4.829, 4.829, 3.167 Å; angles 90.00, 90.00, 117.74 degrees
Fractional positions:
Tc  0.000  0.000  0.000
P  0.000  0.500  0.500
P  0.500  0.000  0.500
Br  0.500  0.500  0.000

ΔE to the lowest computed polymorph = 0.9155 eV/atom
energy relative to the elements, uncorrected = 0.87 eV per atom
DFT total energy = -4.845 eV per atom
space group = Cmmm (65)

Record 4
## TcP2Br (PBE)

Data for crystalline TcP2Br at its relaxed geometry.

Cell lengths 4.451, 4.451, 4.451 Å; angles 60.00, 60.00, 60.00 degrees
Fractional positions:
Tc  0.000  0.000  0.000
P  0.250  0.250  0.250
P  0.500  0.500  0.500
Br  0.750  0.750  0.750

ΔE to the lowest computed polymorph = 0.8427 eV/atom
energy relative to the elements, uncorrected = 0.80 eV per atom
DFT total energy = -4.918 eV per atom
space group = F-43m (216)

Record 5
## TcP2Br (PBE)

Data for crystalline TcP2Br at its relaxed geometry.

Cell lengths 5.895, 5.895, 5.895 Å; angles 150.98, 131.61, 57.42 degrees
Fractional positions:
Tc  0.000  0.000  0.000
P  0.185  0.685  0.500
P  0.815  0.315  0.500
Br  0.500  0.500  0.000

ΔE to the lowest computed polymorph = 0.5518 eV/atom
energy relative to the elements, uncorrected = 0.51 eV per atom
DFT total energy = -5.209 eV per atom
space group = Immm (71)

Record 6
## TcP2Br (PBE)

Data for crystalline TcP2Br at its relaxed geometry.

Cell lengths 3.639, 4.384, 5.112 Å; angles 90.00, 108.45, 90.00 degrees
Fractional positions:
Tc  0.000  0.000  0.000
P  0.192  0.500  0.867
P  0.808  0.500  0.133
Br  0.500  0.000  0.500

ΔE to the lowest computed polymorph = 0.3377 eV/atom
energy relative to the elements, uncorrected = 0.29 eV per atom
DFT total energy = -5.423 eV per atom
space group = P2/m (10)

Record 7
## TcP2Br (PBE)

Data for crystalline TcP2Br at its relaxed geometry.

Cell lengths 3.999, 3.999, 7.632 Å; angles 109.07, 109.07, 45.86 degrees
Fractional positions:
Tc  0.000  0.000  0.000
P  0.350  0.350  0.147
P  0.650  0.650  0.853
Br  0.500  0.500  0.500

ΔE to the lowest computed polymorph = 0.0000 eV/atom
energy relative to the elements, uncorrected = -0.05 eV per atom
DFT total energy = -5.761 eV per atom
space group = C2/m (12)

Record 8
## TcP2Br (PBE)

Data for crystalline TcP2Br at its relaxed geometry.

Cell lengths 4.052, 4.052, 7.325 Å; angles 95.24, 95.24, 49.93 degrees
Fractional positions:
Tc  0.000  0.000  0.000
P  0.501  0.501  0.266
P  0.707  0.707  0.098
Br  0.240  0.240  0.750

ΔE to the lowest computed polymorph = 0.0131 eV/atom
energy relative to the elements, uncorrected = -0.03 eV per atom
DFT total energy = -5.748 eV per atom
space group = Cm (8)